A plane-wave DFT calculation with GGA-PBE was carried out for Y2HgPbF after structural relaxation.

Cell: 4.8708 4.8708 5.0687 Å, 90.00 90.00 90.00°
Space group P4/mmm (No. 123)
Unique sites:
Y: 0.0000 0.5000 0.0000 [2 per cell]
Hg: 0.0000 0.0000 0.5000 [1 per cell]
Pb: 0.5000 0.5000 0.5000 [1 per cell]
F: 0.0000 0.0000 0.0000 [1 per cell]

Computed properties:
D(E_F) = 5.12 states/eV/cell
density = 8.35 g/cm³
formation energy without anion corrections = -0.983 eV per atom